(1)
DyHoSiPd: relaxed, PBE.

As for the formation energy (no corrections): -0.85 eV/atom. The energy is -0.426 Ry/atom.

It has space group Amm2 (No. 38), with a = 4.217 Å, b = 3.941 Å, c = 10.754 Å, α = 90.00°, β = 90.00° and γ = 90.00°. The distinct sites, in fractional coordinates, are Dy at (0.000, 0.000, 0.000), Ho at (0.500, 0.000, 0.281), Si at (0.000, 0.000, 0.720) and Pd at (0.500, 0.000, 0.567).



(2)
DyHoSnPd: relaxed, PBE.

The value obtained for the formation energy is -0.744 eV per atom. The energy is -0.392 Ry/atom.

It has space group F-43m (No. 216), with a = 7.277 Å, b = 7.277 Å, c = 7.277 Å, α = 90.00°, β = 90.00° and γ = 90.00°. The distinct sites, in fractional coordinates, are Dy at (0.000, 0.000, 0.000), Ho at (0.000, 0.000, 0.500), Sn at (0.250, 0.250, 0.750) and Pd at (0.250, 0.250, 0.250).



(3)
DyHoTlPd: relaxed, PBE.

The value obtained for the formation energy is -0.549 eV per atom. The energy is -0.348 Ry/atom.

It has space group F-43m (No. 216), with a = 7.303 Å, b = 7.303 Å, c = 7.303 Å, α = 90.00°, β = 90.00° and γ = 90.00°. The distinct sites, in fractional coordinates, are Dy at (0.000, 0.000, 0.000), Ho at (0.000, 0.000, 0.500), Tl at (0.250, 0.250, 0.250) and Pd at (0.250, 0.250, 0.750).



(4)
DyHoZnPd: relaxed, PBE.

The value obtained for the formation energy is -0.636 eV per atom. The energy is -0.334 Ry/atom.

It has space group P4mm (No. 99), with a = 3.546 Å, b = 3.546 Å, c = 6.975 Å, α = 90.00°, β = 90.00° and γ = 90.00°. The distinct sites, in fractional coordinates, are Dy at (0.000, 0.000, 0.000), Ho at (0.000, 0.000, 0.491), Zn at (0.500, 0.500, 0.744) and Pd at (0.500, 0.500, 0.248).



(5)
DyHoZnPd: relaxed, PBE.

The value obtained for the formation energy is -0.611 eV per atom. The energy is -0.332 Ry/atom.

It has space group F-43m (No. 216), with a = 7.057 Å, b = 7.057 Å, c = 7.057 Å, α = 90.00°, β = 90.00° and γ = 90.00°. The distinct sites, in fractional coordinates, are Dy at (0.000, 0.000, 0.000), Ho at (0.000, 0.000, 0.500), Zn at (0.250, 0.250, 0.250) and Pd at (0.250, 0.250, 0.750).



(6)
PmDy15Ho4: relaxed, PBE.

The value obtained for the formation energy is 0.018 eV per atom. The energy is -0.337 Ry/atom.

It has space group P4/mmm (No. 123), with a = 5.012 Å, b = 5.012 Å, c = 25.062 Å, α = 90.00°, β = 90.00° and γ = 90.00°. The distinct sites, in fractional coordinates, are Pm at (0.000, 0.000, 0.000), Dy at (0.000, 0.500, 0.101), Dy at (0.000, 0.500, 0.301), Dy at (0.000, 0.500, 0.500), Dy at (0.500, 0.500, 0.000), Dy at (0.500, 0.500, 0.201), Dy at (0.500, 0.500, 0.400), Ho at (0.000, 0.000, 0.201) and Ho at (0.000, 0.000, 0.400).



(7)
PmDy4Ho2: relaxed, PBE.

The value obtained for the formation energy is 0.130 eV per atom. The energy is -0.330 Ry/atom.

It has space group P2_1/m (No. 11), with a = 6.079 Å, b = 6.561 Å, c = 11.515 Å, α = 90.00°, β = 104.12° and γ = 90.00°. The distinct sites, in fractional coordinates, are Pm at (0.037, 0.250, 0.361), Dy at (0.148, 0.250, 0.662), Dy at (0.283, 0.750, 0.925), Dy at (0.349, 0.508, 0.211), Ho at (0.154, 0.250, 0.948) and Ho at (0.397, 0.750, 0.506).



(8)
PmDyHo2: relaxed, PBE.

The value obtained for the formation energy is 0.021 eV per atom. The energy is -0.339 Ry/atom.

It has space group P4/mmm (No. 123), with a = 3.559 Å, b = 3.559 Å, c = 10.068 Å, α = 90.00°, β = 90.00° and γ = 90.00°. The distinct sites, in fractional coordinates, are Pm at (0.000, 0.000, 0.000), Dy at (0.000, 0.000, 0.500) and Ho at (0.500, 0.500, 0.254).



(9)
Pm2Dy3Ho2: relaxed, PBE.

The value obtained for the formation energy is 0.120 eV per atom. The energy is -0.332 Ry/atom.

It has space group C2/m (No. 12), with a = 17.503 Å, b = 3.506 Å, c = 8.540 Å, α = 90.00°, β = 119.20° and γ = 90.00°. The distinct sites, in fractional coordinates, are Pm at (0.066, 0.000, 0.221), Dy at (0.000, 0.500, 0.500), Dy at (0.212, 0.500, 0.624) and Ho at (0.150, 0.500, 0.966).



(10)
Pm4DyHo7: relaxed, PBE.

The value obtained for the formation energy is 0.274 eV per atom. The energy is -0.321 Ry/atom.

It has space group C2/m (No. 12), with a = 12.080 Å, b = 5.894 Å, c = 12.773 Å, α = 90.00°, β = 118.22° and γ = 90.00°. The distinct sites, in fractional coordinates, are Pm at (0.056, 0.000, 0.332), Pm at (0.137, 0.500, 0.777), Dy at (0.000, 0.500, 0.000), Ho at (0.000, 0.000, 0.000), Ho at (0.137, 0.500, 0.505), Ho at (0.212, 0.000, 0.924) and Ho at (0.244, 0.500, 0.312).



(11)
Pm12DyHo3: relaxed, PBE.

The value obtained for the formation energy is 0.015 eV per atom. The energy is -0.345 Ry/atom.

It has space group P4/mmm (No. 123), with a = 5.120 Å, b = 5.120 Å, c = 20.432 Å, α = 90.00°, β = 90.00° and γ = 90.00°. The distinct sites, in fractional coordinates, are Pm at (0.000, 0.000, 0.000), Pm at (0.000, 0.000, 0.250), Pm at (0.000, 0.000, 0.500), Pm at (0.000, 0.500, 0.125), Pm at (0.000, 0.500, 0.375), Dy at (0.500, 0.500, 0.000), Ho at (0.500, 0.500, 0.250) and Ho at (0.500, 0.500, 0.500).



(12)
PmDyHo6: relaxed, PBE.

The value obtained for the formation energy is 0.208 eV per atom. The energy is -0.323 Ry/atom.

It has space group P-1 (No. 2), with a = 6.514 Å, b = 6.700 Å, c = 6.945 Å, α = 118.47°, β = 104.53° and γ = 90.09°. The distinct sites, in fractional coordinates, are Pm at (0.000, 0.000, 0.000), Dy at (0.500, 0.000, 0.000), Ho at (0.231, 0.574, 0.480), Ho at (0.252, 0.544, 0.001) and Ho at (0.272, 0.095, 0.526).



(13)
Pm4Dy3Ho: relaxed, PBE.

The value obtained for the formation energy is 0.166 eV per atom. The energy is -0.331 Ry/atom.

It has space group C2/m (No. 12), with a = 23.526 Å, b = 3.490 Å, c = 6.796 Å, α = 90.00°, β = 106.63° and γ = 90.00°. The distinct sites, in fractional coordinates, are Pm at (0.124, 0.000, 0.368), Pm at (0.240, 0.500, 0.236), Dy at (0.000, 0.000, 0.500), Dy at (0.123, 0.000, 0.881) and Ho at (0.000, 0.500, 0.000).



(14)
Pm5Dy3Ho: relaxed, PBE.

The value obtained for the formation energy is 0.170 eV per atom. The energy is -0.332 Ry/atom.

It has space group C2/c (No. 15), with a = 16.444 Å, b = 6.747 Å, c = 11.597 Å, α = 90.00°, β = 110.34° and γ = 90.00°. The distinct sites, in fractional coordinates, are Pm at (0.000, 0.188, 0.250), Pm at (0.110, 0.002, 0.551), Pm at (0.172, 0.411, 0.346), Dy at (0.000, 0.500, 0.000), Dy at (0.239, 0.097, 0.872) and Ho at (0.000, 0.261, 0.750).



(15)
Pm5Dy2Ho12: relaxed, PBE.

The value obtained for the formation energy is 0.134 eV per atom. The energy is -0.330 Ry/atom.

It has space group C2/m (No. 12), with a = 15.641 Å, b = 10.183 Å, c = 7.810 Å, α = 90.00°, β = 90.36° and γ = 90.00°. The distinct sites, in fractional coordinates, are Pm at (0.000, 0.000, 0.000), Pm at (0.148, 0.500, 0.578), Pm at (0.245, 0.000, 0.987), Dy at (0.000, 0.240, 0.500), Ho at (0.051, 0.500, 0.205), Ho at (0.106, 0.276, 0.892), Ho at (0.150, 0.000, 0.618) and Ho at (0.195, 0.236, 0.298).



(16)
Pm3Dy2Ho6: relaxed, PBE.

The value obtained for the formation energy is 0.276 eV per atom. The energy is -0.320 Ry/atom.

It has space group I4/mmm (No. 139), with a = 4.738 Å, b = 4.738 Å, c = 33.189 Å, α = 90.00°, β = 90.00° and γ = 90.00°. The distinct sites, in fractional coordinates, are Pm at (0.000, 0.000, 0.000), Pm at (0.000, 0.000, 0.203), Dy at (0.000, 0.000, 0.454), Ho at (0.000, 0.000, 0.306) and Ho at (0.000, 0.500, 0.121).



(17)
PmDy7Ho3: relaxed, PBE.

The value obtained for the formation energy is 0.194 eV per atom. The energy is -0.325 Ry/atom.

It has space group P3m1 (No. 156), with a = 7.0439 Å, b = 7.0439 Å, c = 8.5761 Å, α = 90.00°, β = 90.00° and γ = 120.00°. The distinct sites, in fractional coordinates, are Pm at (0.0000, 0.0000, 0.0000), Dy at (0.0025, 0.5013, 0.9957), Dy at (0.3310, 0.1655, 0.3299), Dy at (0.3333, 0.6667, 0.3257) and Ho at (0.1671, 0.3341, 0.6614).



(18)
Pm2Dy9Ho3: relaxed, PBE.

The value obtained for the formation energy is 0.119 eV per atom. The energy is -0.331 Ry/atom.

It has space group P-1 (No. 2), with a = 6.195 Å, b = 8.735 Å, c = 8.755 Å, α = 79.05°, β = 87.03° and γ = 77.66°. The distinct sites, in fractional coordinates, are Pm at (0.044, 0.296, 0.030), Dy at (0.011, 0.082, 0.748), Dy at (0.152, 0.507, 0.335), Dy at (0.314, 0.104, 0.382), Dy at (0.412, 0.306, 0.686), Dy at (0.500, 0.500, 0.000), Ho at (0.244, 0.725, 0.619) and Ho at (0.500, 0.000, 0.000).



(19)
Pm2Dy6Ho: relaxed, PBE.

The value obtained for the formation energy is 0.112 eV per atom. The energy is -0.332 Ry/atom.

It has space group C2/c (No. 15), with a = 12.812 Å, b = 14.277 Å, c = 6.578 Å, α = 90.00°, β = 104.28° and γ = 90.00°. The distinct sites, in fractional coordinates, are Pm at (0.144, 0.025, 0.372), Dy at (0.036, 0.187, 0.004), Dy at (0.132, 0.410, 0.816), Dy at (0.240, 0.201, 0.728) and Ho at (0.000, 0.382, 0.250).



(20)
Pm5Dy5Ho: relaxed, PBE.

The value obtained for the formation energy is 0.300 eV per atom. The energy is -0.321 Ry/atom.

It has space group P-6m2 (No. 187), with a = 6.1109 Å, b = 6.1109 Å, c = 11.6789 Å, α = 90.00°, β = 90.00° and γ = 120.00°. The distinct sites, in fractional coordinates, are Pm at (0.0000, 0.0000, 0.0000), Pm at (0.3333, 0.6667, 0.3162), Pm at (0.6667, 0.3333, 0.1543), Dy at (0.0000, 0.0000, 0.2652), Dy at (0.3345, 0.1673, 0.5000) and Ho at (0.3333, 0.6667, 0.0000).



(21)
Pm2DyHo: relaxed, PBE.

The value obtained for the formation energy is 0.017 eV per atom. The energy is -0.342 Ry/atom.

It has space group Cmcm (No. 63), with a = 10.119 Å, b = 10.181 Å, c = 5.086 Å, α = 90.00°, β = 90.00° and γ = 90.00°. The distinct sites, in fractional coordinates, are Pm at (0.250, 0.125, 0.250), Dy at (0.000, 0.125, 0.750) and Ho at (0.000, 0.375, 0.250).